The following is a PBEsol calculation of Cr2FeOs after structural relaxation, from the Alexandria database.

a b c (Å): 2.9041 4.0685 4.7215
angles (deg): 115.52 107.91 90.00
Last column: nearest neighbours and their distance in Å.
Sites, in units of the cell vectors:
Cr1 0.9847 0.9847 0.9694  2 Cr 2.31, 4 Fe 2.51, 2 Os 2.52
Cr2 0.2604 0.7604 0.5207  2 Cr 2.31, 2 Fe 2.46, 4 Os 2.50
Fe1 0.5124 0.5124 0.0249  6 Cr 2.46-2.51, 4 Os 2.60-2.75
Os1 0.7425 0.2425 0.4850  6 Cr 2.50-2.52, 4 Fe 2.60-2.75

Summary:
- Theoretical density: 12.282 g cm⁻³
- Relative energy among the computed polymorphs: 45 meV per atom
- ΔE_f: 0.6 eV/f.u.